## Tm2Te5 (PBE-GGA)

Data for a relaxed Tm2Te5 crystal.

Computed properties:
calculated total energy = -4.481 eV/atom
total magnetic moment = 0.000 μB/atom
formation energy (no corrections) = -0.96 eV per atom

abc: 22.0850 22.0850 4.3642
angles: 90.00 90.00 168.66
Last column: nearest neighbours and their distance in Å.
Fractional coordinates of all 14 atoms:
Tm 0.1028 0.8972 0.7500  9 Te 3.16-3.28
Tm 0.3051 0.6949 0.7500  9 Te 3.12-3.26
Tm 0.6949 0.3051 0.2500  9 Te 3.12-3.26
Tm 0.8972 0.1028 0.2500  9 Te 3.16-3.28
Te 0.0470 0.9530 0.2500  4 Te 3.09, 2 Tm 3.28
Te 0.1747 0.8253 0.7500  5 Tm 3.16-3.21
Te 0.2500 0.7500 0.2500  4 Te 3.09, 4 Tm 3.26
Te 0.3761 0.6239 0.7500  5 Tm 3.12-3.22
Te 0.4530 0.5470 0.2500  4 Te 3.09, 2 Tm 3.28
Te 0.5470 0.4530 0.7500  4 Te 3.09, 2 Tm 3.28
Te 0.6239 0.3761 0.2500  5 Tm 3.12-3.22
Te 0.7500 0.2500 0.7500  4 Te 3.09, 4 Tm 3.26
Te 0.8253 0.1747 0.2500  5 Tm 3.16-3.21
Te 0.9530 0.0470 0.7500  4 Te 3.09, 2 Tm 3.28